Material: Ca3HgPd2
Method: DFT, PBE-GGA
State: optimized geometry

Lattice parameters (Å, degrees): 7.977 7.977 3.691 90.00 90.00 142.62
Atoms (fractional coordinates):
Ca 0.000 0.000 0.000
Ca 0.326 0.674 0.000
Ca 0.674 0.326 0.000
Hg 0.500 0.500 0.500
Pd 0.164 0.836 0.500
Pd 0.836 0.164 0.500

Crystal system: orthorhombic
E above lowest polymorph: 0.019 eV per atom
Space group: Cmmm
Energy of formation from the pure elements: -0.619 eV per atom
D(E_F): 2.57 states/eV/f.u.